## one
# HfBOs

An optimized crystal structure of HfBOs (PBE, the Open Quantum Materials Database).

abc: 4.1373 4.1373 4.1373
angles: 60.00 60.00 60.00
Closest atoms and distances in Å follow each position.
Sites, in units of the cell vectors:
Os 0.0000 0.0000 0.0000  4 Hf 2.53, 4 B 2.53
B 0.2500 0.2500 0.2500  4 Os 2.53
Hf 0.7500 0.7500 0.7500  4 Os 2.53

## two
# HfBOs

An optimized crystal structure of HfBOs (PBE, the Open Quantum Materials Database).

abc: 4.1938 4.1938 4.1938
angles: 60.00 60.00 60.00
Closest atoms and distances in Å follow each position.
Sites, in units of the cell vectors:
Hf 0.0000 0.0000 0.0000  4 Os 2.57, 4 B 2.57
Os 0.7500 0.7500 0.7500  4 Hf 2.57
B 0.2500 0.2500 0.2500  4 Hf 2.57

Q: Which of them is the least stable? A: two.

## one
# HfB4Pb

An optimized crystal structure of HfB4Pb (PBE, the Open Quantum Materials Database).

abc: 5.1117 5.1117 5.1117
angles: 144.21 116.14 75.42
Closest atoms and distances in Å follow each position.
Sites, in units of the cell vectors:
B 0.4116 0.7450 0.6666  3 B 1.80-1.81
B 0.9216 0.2550 0.6666  3 B 1.80-1.81
B 0.5884 0.2550 0.3334  3 B 1.80-1.81
B 0.0784 0.7450 0.3334  3 B 1.80-1.81
Pb 0.5000 0.5000 0.0000  12 B 2.68-2.74
Hf 0.0000 0.0000 0.0000  12 B 2.68-2.74

## two
# HfB4Pb

An optimized crystal structure of HfB4Pb (PBE, the Open Quantum Materials Database).

abc: 3.1828 3.1828 8.0835
angles: 90.00 90.00 120.00
Closest atoms and distances in Å follow each position.
Sites, in units of the cell vectors:
Hf 0.0000 0.0000 0.5000  12 B 2.49
B 0.6667 0.3333 0.7081  3 B 1.84
B 0.3333 0.6667 0.2919  3 B 1.84
B 0.6667 0.3333 0.2919  3 B 1.84
B 0.3333 0.6667 0.7081  3 B 1.84
Pb 0.0000 0.0000 0.0000  12 B 2.99, 6 Pb 3.18

Q: Which of them is the least stable? A: one.

## one
# HfBPb

An optimized crystal structure of HfBPb (PBE, the Open Quantum Materials Database).

abc: 4.3197 4.3197 4.3197
angles: 60.00 60.00 60.00
Closest atoms and distances in Å follow each position.
Sites, in units of the cell vectors:
B 0.0000 0.0000 0.0000  4 Pb 2.65, 4 Hf 2.65
Pb 0.7500 0.7500 0.7500  4 B 2.65
Hf 0.2500 0.2500 0.2500  4 B 2.65

## two
# HfBPb

An optimized crystal structure of HfBPb (PBE, the Open Quantum Materials Database).

abc: 4.5450 4.5450 4.5450
angles: 60.00 60.00 60.00
Closest atoms and distances in Å follow each position.
Sites, in units of the cell vectors:
B 0.2500 0.2500 0.2500  4 Hf 2.78
Hf 0.0000 0.0000 0.0000  4 Pb 2.78, 4 B 2.78
Pb 0.7500 0.7500 0.7500  4 Hf 2.78

Q: Which of them is the least stable? A: two.